(1)
Entry from Alexandria via LeMat-Bulk: a relaxed structure of CrInSn2S (GGA-PBE).

CIF file:
```
data_CrInSn2S
_chemical_formula_sum 'Cr1 In1 Sn2 S1'
_cell_length_a 5.511
_cell_length_b 5.511
_cell_length_c 4.462
_cell_angle_alpha 90.00
_cell_angle_beta 90.00
_cell_angle_gamma 90.00
_symmetry_space_group_name_H-M 'P 4/m m m'
_symmetry_Int_Tables_number 123
_symmetry_space_group_name_Hall '-P 4 2'
loop_
_atom_site_label
_atom_site_fract_x
_atom_site_fract_y
_atom_site_fract_z
Cr1 0.000 0.000 0.000
In1 0.500 0.500 0.000
Sn1 0.000 0.500 0.500
S1 0.000 0.000 0.500
```

Output
Electronic total energy (eV/atom): -4.63
Uncorrected formation energy (eV/atom): 0.27
Density of states at the Fermi level (states/eV/atom): 0.719

=====

(2)
Entry from Alexandria via LeMat-Bulk: a relaxed structure of Tl3Cr2InS6 (GGA-PBE).

CIF file:
```
data_Tl3Cr2InS6
_chemical_formula_sum 'Tl6 Cr4 In2 S12'
_cell_length_a 6.453
_cell_length_b 11.171
_cell_length_c 7.664
_cell_angle_alpha 90.00
_cell_angle_beta 106.13
_cell_angle_gamma 90.00
_symmetry_space_group_name_H-M 'C 1 2/m 1'
_symmetry_Int_Tables_number 12
_symmetry_space_group_name_Hall '-C 2y'
loop_
_atom_site_label
_atom_site_fract_x
_atom_site_fract_y
_atom_site_fract_z
Tl1 0.000 0.000 0.000
Tl2 0.000 0.340 0.000
Cr1 0.000 0.167 0.500
In1 0.000 0.500 0.500
S1 0.203 0.000 0.674
S2 0.238 0.322 0.681
```

Output
Electronic total energy (eV/atom): -5.02
Uncorrected formation energy (eV/atom): -0.53
Density of states at the Fermi level (states/eV/atom): 0.037

=====

(3)
Entry from Alexandria via LeMat-Bulk: a relaxed structure of TlCrIn2S (GGA-PBE).

CIF file:
```
data_TlCrIn2S
_chemical_formula_sum 'Tl1 Cr1 In2 S1'
_cell_length_a 5.782
_cell_length_b 5.782
_cell_length_c 5.174
_cell_angle_alpha 90.00
_cell_angle_beta 90.00
_cell_angle_gamma 90.00
_symmetry_space_group_name_H-M 'P 4/m m m'
_symmetry_Int_Tables_number 123
_symmetry_space_group_name_Hall '-P 4 2'
loop_
_atom_site_label
_atom_site_fract_x
_atom_site_fract_y
_atom_site_fract_z
Tl1 0.000 0.000 0.000
Cr1 0.500 0.500 0.500
In1 0.000 0.500 0.000
S1 0.000 0.000 0.500
```

Output
Electronic total energy (eV/atom): -3.42
Uncorrected formation energy (eV/atom): 0.90
Density of states at the Fermi level (states/eV/atom): 0.487

=====

(4)
Entry from Alexandria via LeMat-Bulk: a relaxed structure of Tl2CrInS4 (GGA-PBE).

CIF file:
```
data_Tl2CrInS4
_chemical_formula_sum 'Tl8 Cr4 In4 S16'
_cell_length_a 7.789
_cell_length_b 8.175
_cell_length_c 11.303
_cell_angle_alpha 90.00
_cell_angle_beta 90.00
_cell_angle_gamma 90.00
_symmetry_space_group_name_H-M 'I m m a'
_symmetry_Int_Tables_number 74
_symmetry_space_group_name_Hall '-I 2b 2'
loop_
_atom_site_label
_atom_site_fract_x
_atom_site_fract_y
_atom_site_fract_z
Tl1 0.000 0.000 0.000
Tl2 0.250 0.250 0.250
Cr1 0.250 0.250 0.750
In1 0.000 0.000 0.500
S1 0.000 0.053 0.738
S2 0.226 0.250 0.528
```

Output
Electronic total energy (eV/atom): -4.64
Uncorrected formation energy (eV/atom): -0.44
Density of states at the Fermi level (states/eV/atom): 0.194

=====

(5)
Entry from Alexandria via LeMat-Bulk: a relaxed structure of UCr4InS8 (GGA-PBE).

CIF file:
```
data_UCr4InS8
_chemical_formula_sum 'U3 Cr12 In3 S24'
_cell_length_a 6.8262
_cell_length_b 6.8262
_cell_length_c 19.0049
_cell_angle_alpha 90.00
_cell_angle_beta 90.00
_cell_angle_gamma 120.00
_symmetry_space_group_name_H-M 'R 3 m'
_symmetry_Int_Tables_number 160
_symmetry_space_group_name_Hall 'R 3 -2"'
loop_
_atom_site_label
_atom_site_fract_x
_atom_site_fract_y
_atom_site_fract_z
U1 0.0000 0.0000 0.0000
Cr1 0.0000 0.0000 0.6267
Cr2 0.0567 0.5283 0.4956
In1 0.0000 0.0000 0.3495
S1 0.0000 0.0000 0.2144
S2 0.0000 0.0000 0.7466
S3 0.0101 0.5050 0.7659
S4 0.1698 0.3395 0.5711
```

Output
Electronic total energy (eV/atom): -6.75
Uncorrected formation energy (eV/atom): -0.64
Density of states at the Fermi level (states/eV/atom): 0.631

=====

(6)
Entry from Alexandria via LeMat-Bulk: a relaxed structure of ZnCrInS4 (GGA-PBE).

CIF file:
```
data_ZnCrInS4
_chemical_formula_sum 'Zn4 Cr4 In4 S16'
_cell_length_a 7.293
_cell_length_b 7.349
_cell_length_c 10.474
_cell_angle_alpha 90.00
_cell_angle_beta 90.00
_cell_angle_gamma 90.00
_symmetry_space_group_name_H-M 'I m m a'
_symmetry_Int_Tables_number 74
_symmetry_space_group_name_Hall '-I 2b 2'
loop_
_atom_site_label
_atom_site_fract_x
_atom_site_fract_y
_atom_site_fract_z
Zn1 0.000 0.250 0.123
Cr1 0.250 0.250 0.750
In1 0.000 0.000 0.500
S1 0.000 0.025 0.751
S2 0.248 0.250 0.519
```

Output
Electronic total energy (eV/atom): -4.96
Uncorrected formation energy (eV/atom): -0.65

=====

(7)
Entry from Alexandria via LeMat-Bulk: a relaxed structure of ZrCrInS2 (GGA-PBE).

CIF file:
```
data_ZrCrInS2
_chemical_formula_sum 'Zr1 Cr1 In1 S2'
_cell_length_a 4.500
_cell_length_b 4.500
_cell_length_c 5.122
_cell_angle_alpha 90.00
_cell_angle_beta 90.00
_cell_angle_gamma 90.00
_symmetry_space_group_name_H-M 'P 4/m m m'
_symmetry_Int_Tables_number 123
_symmetry_space_group_name_Hall '-P 4 2'
loop_
_atom_site_label
_atom_site_fract_x
_atom_site_fract_y
_atom_site_fract_z
Zr1 0.000 0.000 0.000
Cr1 0.500 0.500 0.500
In1 0.500 0.500 0.000
S1 0.000 0.500 0.500
```

Output
Electronic total energy (eV/atom): -5.65
Uncorrected formation energy (eV/atom): 0.18
Density of states at the Fermi level (states/eV/atom): 0.758

=====

(8)
Entry from Alexandria via LeMat-Bulk: a relaxed structure of Cr2In2Sb (GGA-PBE).

CIF file:
```
data_Cr2In2Sb
_chemical_formula_sum 'Cr4 In4 Sb2'
_cell_length_a 6.572
_cell_length_b 6.572
_cell_length_c 4.418
_cell_angle_alpha 90.00
_cell_angle_beta 90.00
_cell_angle_gamma 90.00
_symmetry_space_group_name_H-M 'P 4/m b m'
_symmetry_Int_Tables_number 127
_symmetry_space_group_name_Hall '-P 4 2ab'
loop_
_atom_site_label
_atom_site_fract_x
_atom_site_fract_y
_atom_site_fract_z
Cr1 0.115 0.385 0.000
In1 0.167 0.667 0.500
Sb1 0.000 0.000 0.000
```

Output
Electronic total energy (eV/atom): -5.39
Uncorrected formation energy (eV/atom): 0.37
Density of states at the Fermi level (states/eV/atom): 0.905

=====

(9)
Entry from Alexandria via LeMat-Bulk: a relaxed structure of CrIn3Sb (GGA-PBE).

CIF file:
```
data_CrIn3Sb
_chemical_formula_sum 'Cr1 In3 Sb1'
_cell_length_a 5.255
_cell_length_b 5.255
_cell_length_c 5.255
_cell_angle_alpha 90.00
_cell_angle_beta 90.00
_cell_angle_gamma 90.00
_symmetry_space_group_name_H-M 'P m -3 m'
_symmetry_Int_Tables_number 221
_symmetry_space_group_name_Hall '-P 4 2 3'
loop_
_atom_site_label
_atom_site_fract_x
_atom_site_fract_y
_atom_site_fract_z
Cr1 0.000 0.000 0.000
In1 0.000 0.000 0.500
Sb1 0.500 0.500 0.500
```

Output
Electronic total energy (eV/atom): -3.88
Uncorrected formation energy (eV/atom): 0.51
Density of states at the Fermi level (states/eV/atom): 0.633

=====

(10)
Entry from Alexandria via LeMat-Bulk: a relaxed structure of CrInSb2 (GGA-PBE).

CIF file:
```
data_CrInSb2
_chemical_formula_sum 'Cr2 In2 Sb4'
_cell_length_a 14.607
_cell_length_b 3.251
_cell_length_c 4.428
_cell_angle_alpha 90.00
_cell_angle_beta 107.59
_cell_angle_gamma 90.00
_symmetry_space_group_name_H-M 'C 1 m 1'
_symmetry_Int_Tables_number 8
_symmetry_space_group_name_Hall 'C -2y'
loop_
_atom_site_label
_atom_site_fract_x
_atom_site_fract_y
_atom_site_fract_z
Cr1 0.000 0.000 0.000
In1 0.208 0.500 0.208
Sb1 0.036 0.500 0.536
Sb2 0.335 0.000 0.835
```

Output
Electronic total energy (eV/atom): -4.94
Uncorrected formation energy (eV/atom): 0.21
Density of states at the Fermi level (states/eV/atom): 0.513

=====

(11)
Entry from Alexandria via LeMat-Bulk: a relaxed structure of CrInSb2 (GGA-PBE).

CIF file:
```
data_CrInSb2
_chemical_formula_sum 'Cr2 In2 Sb4'
_cell_length_a 7.031
_cell_length_b 4.055
_cell_length_c 7.491
_cell_angle_alpha 90.00
_cell_angle_beta 108.35
_cell_angle_gamma 90.00
_symmetry_space_group_name_H-M 'C 1 2/m 1'
_symmetry_Int_Tables_number 12
_symmetry_space_group_name_Hall '-C 2y'
loop_
_atom_site_label
_atom_site_fract_x
_atom_site_fract_y
_atom_site_fract_z
Cr1 0.000 0.000 0.000
In1 0.000 0.500 0.500
Sb1 0.234 0.500 0.199
```

Output
Electronic total energy (eV/atom): -5.01
Uncorrected formation energy (eV/atom): 0.15
Density of states at the Fermi level (states/eV/atom): 0.638

=====

(12)
Entry from Alexandria via LeMat-Bulk: a relaxed structure of CrInSb2 (GGA-PBE).

CIF file:
```
data_CrInSb2
_chemical_formula_sum 'Cr1 In1 Sb2'
_cell_length_a 3.206
_cell_length_b 3.206
_cell_length_c 9.326
_cell_angle_alpha 90.00
_cell_angle_beta 90.00
_cell_angle_gamma 90.00
_symmetry_space_group_name_H-M 'P 4 m m'
_symmetry_Int_Tables_number 99
_symmetry_space_group_name_Hall 'P 4 -2'
loop_
_atom_site_label
_atom_site_fract_x
_atom_site_fract_y
_atom_site_fract_z
Cr1 0.000 0.000 0.000
In1 0.500 0.500 0.206
Sb1 0.000 0.000 0.477
Sb2 0.500 0.500 0.812
```

Output
Electronic total energy (eV/atom): -4.87
Uncorrected formation energy (eV/atom): 0.28
Density of states at the Fermi level (states/eV/atom): 0.647